Entry from Alexandria via LeMat-Bulk: crystalline Pm3SbO at its relaxed geometry (GGA-PBE).

a = 4.9134 Å, b = 4.9134 Å, c = 4.9134 Å
α = 90.00°, β = 90.00°, γ = 90.00°
Sites, in units of the cell vectors:
1 Pm 0.0000 0.0000 0.5000
2 Pm 0.0000 0.5000 0.0000
3 Pm 0.5000 0.0000 0.0000
4 Sb 0.5000 0.5000 0.5000
5 O 0.0000 0.0000 0.0000

The calculation puts the density of states at the Fermi level at 4.8 states/eV per cell. As for the volume: 23.723 Å³/atom. As for the electronic total energy: -30.76 eV per cell. For the energy above the lowest structure with this stoichiometry, the calculation gives 0.0000 eV per atom. The space group is No. 221. The value obtained for the raw formation energy is -1.49 eV per atom.

***

Entry from Alexandria via LeMat-Bulk: crystalline PIrRu2 at its relaxed geometry (GGA-PBE).

a = 5.5994 Å, b = 7.0658 Å, c = 2.7843 Å
α = 90.00°, β = 90.00°, γ = 90.00°
Sites, in units of the cell vectors:
1 P 0.0000 0.0000 0.0000
2 P 0.5000 0.5000 0.0000
3 Ir 0.0000 0.5000 0.0000
4 Ir 0.5000 0.0000 0.0000
5 Ru 0.2500 0.2500 0.5000
6 Ru 0.2500 0.7500 0.5000
7 Ru 0.7500 0.2500 0.5000
8 Ru 0.7500 0.7500 0.5000

The calculation puts the density of states at the Fermi level at 10.5 states/eV per cell. As for the volume: 13.770 Å³/atom. The formation energy comes out at 46 kJ/mol of formula units. As for the electronic total energy: -64.69 eV per cell. The space group is No. 65.